The following is a PBE calculation of TaTe2Mo2Se4 after structural relaxation, from Alexandria via LeMat-Bulk.

The structure in POSCAR format:
```
TaTe2Mo2Se4
1.0
3.404 0.000 0.000
-1.702 2.948 0.000
0.000 0.000 22.552
Ta Te Mo Se
1 2 2 4
Cartesian
0.000 0.000 0.000
1.702 0.983 1.991
1.702 0.983 20.562
0.000 0.000 14.476
1.702 0.983 7.449
0.000 0.000 5.802
0.000 0.000 9.094
1.702 0.983 12.830
1.702 0.983 16.122
```

Computed properties:
Density, g/cm³: 6.9
Spin magnetization, Bohr magnetons per cell: 0.59
Density of states at the Fermi level, states/eV per cell: 4.605
Energy relative to the elements, uncorrected, eV/atom: -0.511